VASP calculation (PBE) on an optimized crystal structure of Nd10Dy4Sc.

abc: 10.509 8.742 8.742
angles: 68.82 53.06 53.06
Fractional coordinates of all 15 atoms:
Dy  0.323  0.734  0.620
Dy  0.057  0.620  0.266
Dy  0.677  0.266  0.380
Dy  0.943  0.380  0.734
Sc  0.000  0.000  0.000
Nd  0.250  0.500  0.500
Nd  0.750  0.500  0.500
Nd  0.225  0.325  0.904
Nd  0.546  0.325  0.904
Nd  0.129  0.096  0.325
Nd  0.871  0.904  0.675
Nd  0.550  0.904  0.675
Nd  0.454  0.675  0.096
Nd  0.775  0.675  0.096
Nd  0.450  0.096  0.325

E_tot = -67.4 eV per cell
Formation energy from the elements = 0.33 eV/atom